A relaxed BaPrPd2O5 crystal, computed with PBE-GGA.

Values from the calculation:
* calculated volume: 132 Å³ per cell
* formation energy without anion corrections: -1.6831 eV per atom
* magnetic moment: 0.000 μB per formula unit

Structure (CIF):
```
data_BaPrPd2O5
_chemical_formula_sum 'Ba1 Pr1 Pd2 O5'
_space_group_name_H-M_alt 'P 1'
_space_group_IT_number 1
_cell_length_a 4.117
_cell_length_b 4.117
_cell_length_c 7.794
_cell_angle_alpha 90.00
_cell_angle_beta 90.00
_cell_angle_gamma 90.00
loop_
_space_group_symop_operation_xyz
'x,y,z'
loop_
_atom_site_label
_atom_site_type_symbol
_atom_site_fract_x
_atom_site_fract_y
_atom_site_fract_z
Ba1 Ba 0.000 0.000 0.500
Pr1 Pr 0.000 0.000 0.000
Pd1 Pd 0.500 0.500 0.224
Pd2 Pd 0.500 0.500 0.776
O1 O 0.000 0.500 0.191
O2 O 0.500 0.000 0.191
O3 O 0.000 0.500 0.809
O4 O 0.500 0.000 0.809
O5 O 0.500 0.500 0.500
```

A relaxed Ba2PdPtO6 crystal, computed with PBE-GGA.

Values from the calculation:
* calculated volume: 157 Å³ per cell
* formation energy without anion corrections: -1.4467 eV per atom
* magnetic moment: 0.000 μB per formula unit

Structure (CIF):
```
data_Ba2PdPtO6
_chemical_formula_sum 'Ba2 Pd1 Pt1 O6'
_space_group_name_H-M_alt 'P 1'
_space_group_IT_number 1
_cell_length_a 5.473
_cell_length_b 5.763
_cell_length_c 5.763
_cell_angle_alpha 120.00
_cell_angle_beta 90.00
_cell_angle_gamma 90.00
loop_
_space_group_symop_operation_xyz
'x,y,z'
loop_
_atom_site_label
_atom_site_type_symbol
_atom_site_fract_x
_atom_site_fract_y
_atom_site_fract_z
Ba1 Ba 0.255 0.333 0.667
Ba2 Ba 0.745 0.667 0.333
Pd1 Pd 0.500 0.000 0.000
Pt1 Pt 0.000 0.000 0.000
O1 O 0.750 0.154 0.307
O2 O 0.750 0.154 0.846
O3 O 0.750 0.693 0.846
O4 O 0.250 0.846 0.154
O5 O 0.250 0.307 0.154
O6 O 0.250 0.846 0.693
```

A relaxed BaPdPtO4 crystal, computed with PBE-GGA.

Values from the calculation:
* calculated volume: 220 Å³ per cell
* formation energy without anion corrections: -0.9663 eV per atom
* magnetic moment: 0.000 μB per formula unit

Structure (CIF):
```
data_BaPdPtO4
_chemical_formula_sum 'Ba2 Pd2 Pt2 O8'
_space_group_name_H-M_alt 'P 1'
_space_group_IT_number 1
_cell_length_a 6.174
_cell_length_b 7.194
_cell_length_c 6.263
_cell_angle_alpha 115.80
_cell_angle_beta 90.00
_cell_angle_gamma 115.41
loop_
_space_group_symop_operation_xyz
'x,y,z'
loop_
_atom_site_label
_atom_site_type_symbol
_atom_site_fract_x
_atom_site_fract_y
_atom_site_fract_z
Ba1 Ba 0.846 0.691 0.096
Ba2 Ba 0.154 0.309 0.904
Pd1 Pd 0.500 0.000 0.500
Pd2 Pd 0.500 0.000 0.000
Pt1 Pt 0.500 0.500 0.500
Pt2 Pt 0.000 0.500 0.500
O1 O 0.688 0.376 0.634
O2 O 0.280 0.971 0.235
O3 O 0.691 0.971 0.235
O4 O 0.688 0.376 0.242
O5 O 0.312 0.624 0.758
O6 O 0.720 0.029 0.765
O7 O 0.309 0.029 0.765
O8 O 0.312 0.624 0.366
```

A relaxed Ba2PdPtO4 crystal, computed with PBE-GGA.

Values from the calculation:
* calculated volume: 139 Å³ per cell
* formation energy without anion corrections: -1.2789 eV per atom
* magnetic moment: 1.931 μB per formula unit

Structure (CIF):
```
data_Ba2PdPtO4
_chemical_formula_sum 'Ba2 Pd1 Pt1 O4'
_space_group_name_H-M_alt 'P 1'
_space_group_IT_number 1
_cell_length_a 5.655
_cell_length_b 5.655
_cell_length_c 5.655
_cell_angle_alpha 106.22
_cell_angle_beta 111.12
_cell_angle_gamma 111.12
loop_
_space_group_symop_operation_xyz
'x,y,z'
loop_
_atom_site_label
_atom_site_type_symbol
_atom_site_fract_x
_atom_site_fract_y
_atom_site_fract_z
Ba1 Ba 0.500 0.750 0.250
Ba2 Ba 0.000 0.000 0.000
Pd1 Pd 0.500 0.250 0.750
Pt1 Pt 0.000 0.500 0.500
O1 O 0.568 0.272 0.370
O2 O 0.098 0.296 0.728
O3 O 0.902 0.630 0.197
O4 O 0.432 0.803 0.704
```

A relaxed Ba3Pu2PdO9 crystal, computed with PBE-GGA.

Values from the calculation:
* calculated volume: 240 Å³ per cell
* formation energy without anion corrections: -2.5156 eV per atom
* magnetic moment: 8.012 μB per formula unit

Structure (CIF):
```
data_Ba3Pu2PdO9
_chemical_formula_sum 'Ba3 Pu2 Pd1 O9'
_space_group_name_H-M_alt 'P 1'
_space_group_IT_number 1
_cell_length_a 6.072
_cell_length_b 6.072
_cell_length_c 7.506
_cell_angle_alpha 90.00
_cell_angle_beta 90.00
_cell_angle_gamma 120.00
loop_
_space_group_symop_operation_xyz
'x,y,z'
loop_
_atom_site_label
_atom_site_type_symbol
_atom_site_fract_x
_atom_site_fract_y
_atom_site_fract_z
Ba1 Ba 0.333 0.667 0.650
Ba2 Ba 0.000 0.000 0.000
Ba3 Ba 0.667 0.333 0.350
Pu1 Pu 0.333 0.667 0.171
Pu2 Pu 0.667 0.333 0.829
Pd1 Pd 0.000 0.000 0.500
O1 O 0.831 0.169 0.668
O2 O 0.831 0.663 0.668
O3 O 0.337 0.169 0.668
O4 O 0.663 0.831 0.332
O5 O 0.169 0.337 0.332
O6 O 0.169 0.831 0.332
O7 O 0.500 0.000 0.000
O8 O 0.000 0.500 0.000
O9 O 0.500 0.500 0.000
```

A relaxed Ba3PuPd2O8 crystal, computed with PBE-GGA.

Values from the calculation:
* calculated volume: 248 Å³ per cell
* formation energy without anion corrections: -1.8219 eV per atom
* magnetic moment: 2.047 μB per formula unit

Structure (CIF):
```
data_Ba3PuPd2O8
_chemical_formula_sum 'Ba3 Pu1 Pd2 O8'
_space_group_name_H-M_alt 'P 1'
_space_group_IT_number 1
_cell_length_a 5.899
_cell_length_b 5.899
_cell_length_c 8.237
_cell_angle_alpha 90.00
_cell_angle_beta 90.00
_cell_angle_gamma 120.00
loop_
_space_group_symop_operation_xyz
'x,y,z'
loop_
_atom_site_label
_atom_site_type_symbol
_atom_site_fract_x
_atom_site_fract_y
_atom_site_fract_z
Ba1 Ba 0.333 0.667 0.644
Ba2 Ba 0.667 0.333 0.356
Ba3 Ba 0.000 0.000 0.000
Pu1 Pu 0.000 0.000 0.500
Pd1 Pd 0.333 0.667 0.185
Pd2 Pd 0.667 0.333 0.815
O1 O 0.333 0.667 0.950
O2 O 0.667 0.333 0.050
O3 O 0.163 0.837 0.356
O4 O 0.837 0.163 0.644
O5 O 0.163 0.325 0.356
O6 O 0.837 0.675 0.644
O7 O 0.675 0.837 0.356
O8 O 0.325 0.163 0.644
```